Record 1
! PBE-GGA ErMg4Rh5, optimized geometry; values from VASP
! raw total energy: -5.338 eV/atom
&SYSTEM
  ibrav = 0, nat = 10, ntyp = 3
/
ATOMIC_SPECIES
Er 167.26 Er.upf
Mg 24.30 Mg.upf
Rh 102.91 Rh.upf
ATOMIC_POSITIONS angstrom
Er 0.000 0.000 0.000
Mg 0.000 0.000 3.308
Mg 0.000 0.000 6.307
Mg 0.000 0.000 9.334
Mg 0.000 0.000 12.333
Rh 1.603 1.603 1.722
Rh 1.603 1.603 4.783
Rh 1.603 1.603 7.821
Rh 1.603 1.603 10.859
Rh 1.603 1.603 13.919
CELL_PARAMETERS angstrom
3.206 0.000 0.000
0.000 3.206 0.000
0.000 0.000 15.641

---

Record 2
! PBE-GGA Er4MgRh, optimized geometry; values from VASP
! distance to the lowest polymorph of the same formula: 0.0 meV per atom
! raw total energy: -4.947 eV/atom
&SYSTEM
  ibrav = 0, nat = 24, ntyp = 3
/
ATOMIC_SPECIES
Er 167.26 Er.upf
Mg 24.30 Mg.upf
Rh 102.91 Rh.upf
ATOMIC_POSITIONS angstrom
Er 0.397 -7.682 2.760
Er 0.994 -11.037 7.553
Er 3.368 -12.748 2.451
Er -2.473 -12.801 3.142
Er -2.715 -9.382 1.882
Er 3.858 -12.753 6.071
Er 3.248 -9.327 1.177
Er -2.105 -12.807 6.776
Er 0.825 -7.581 6.386
Er 0.319 -14.554 1.567
Er -1.091 -15.601 4.723
Er 2.806 -17.600 7.206
Er 2.444 -15.569 4.305
Er -0.729 -17.632 7.624
Er 1.007 -14.534 7.393
Er 0.707 -18.668 4.536
Mg 0.663 -12.832 4.611
Mg 0.351 -11.083 2.112
Mg -0.886 -10.191 4.772
Mg 2.158 -10.163 4.412
Rh 0.162 -3.137 1.127
Rh 0.585 -5.513 4.520
Rh 2.265 -6.723 0.909
Rh -1.869 -6.761 1.397
CELL_PARAMETERS angstrom
-4.690 -8.368 0.624
4.856 -8.281 -0.505
0.977 -5.485 7.834

---

Record 3
! PBE-GGA ErMg5Rh2, optimized geometry; values from VASP
! raw total energy: -3.771 eV/atom
&SYSTEM
  ibrav = 0, nat = 8, ntyp = 3
/
ATOMIC_SPECIES
Er 167.26 Er.upf
Mg 24.30 Mg.upf
Rh 102.91 Rh.upf
ATOMIC_POSITIONS angstrom
Er 0.000 0.000 0.000
Mg 0.198 -2.173 4.687
Mg -0.439 -1.481 7.556
Mg -2.707 -2.543 3.953
Mg -1.759 0.083 5.130
Mg -1.387 -4.107 6.379
Rh -0.910 -0.859 2.649
Rh -2.235 -3.165 8.860
CELL_PARAMETERS angstrom
-3.542 0.322 2.135
-1.107 -5.790 3.066
1.504 1.445 6.309

---

Record 4
! PBE-GGA Er2MgRh3, optimized geometry; values from VASP
! distance to the lowest polymorph of the same formula: 0.0 meV per atom
! raw total energy: -6.293 eV/atom
&SYSTEM
  ibrav = 0, nat = 12, ntyp = 3
/
ATOMIC_SPECIES
Er 167.26 Er.upf
Mg 24.30 Mg.upf
Rh 102.91 Rh.upf
ATOMIC_POSITIONS angstrom
Er 0.000 0.000 5.734
Er 0.000 2.700 2.057
Er 2.338 1.350 9.411
Er 0.000 0.000 0.000
Mg 0.000 2.700 7.607
Mg 2.338 1.350 3.861
Rh 0.000 2.700 4.821
Rh 2.338 1.350 0.987
Rh 0.000 0.000 8.568
Rh 0.000 0.000 2.901
Rh 0.000 2.700 10.482
Rh 2.338 1.350 6.648
CELL_PARAMETERS angstrom
4.676 0.000 0.000
-2.338 4.050 0.000
0.000 0.000 11.468

---

Record 5
! PBE-GGA Er2Mg2Rh3, optimized geometry; values from VASP
! raw total energy: -5.576 eV/atom
&SYSTEM
  ibrav = 0, nat = 7, ntyp = 3
/
ATOMIC_SPECIES
Er 167.26 Er.upf
Mg 24.30 Mg.upf
Rh 102.91 Rh.upf
ATOMIC_POSITIONS angstrom
Er -2.087 0.832 1.859
Er 3.255 5.008 2.997
Mg 0.398 2.643 0.906
Mg 0.770 3.197 3.951
Rh 0.000 0.000 0.000
Rh 0.778 5.132 1.732
Rh 0.390 0.708 3.125
CELL_PARAMETERS angstrom
-4.632 0.528 0.451
2.541 -1.628 3.616
3.260 6.940 0.789

---

Record 6
! PBE-GGA ErMg3Rh4, optimized geometry; values from VASP
! raw total energy: -5.470 eV/atom
&SYSTEM
  ibrav = 0, nat = 16, ntyp = 3
/
ATOMIC_SPECIES
Mg 24.30 Mg.upf
Rh 102.91 Rh.upf
Er 167.26 Er.upf
ATOMIC_POSITIONS angstrom
Mg 0.000 0.000 0.000
Mg 0.000 0.000 4.500
Mg 2.250 0.000 6.751
Mg 2.249 0.000 2.250
Mg 2.250 3.208 6.751
Mg 2.249 3.208 2.250
Rh 2.250 4.876 0.000
Rh 2.250 4.876 4.500
Rh 2.250 1.541 0.000
Rh 2.250 1.541 4.500
Rh 0.000 4.876 6.751
Rh 4.499 4.876 2.250
Rh 4.499 1.541 2.250
Rh 0.000 1.541 6.751
Er 0.000 3.208 0.000
Er 0.000 3.208 4.500
CELL_PARAMETERS angstrom
4.499 0.000 0.000
0.000 6.417 0.000
0.000 0.000 9.001

---

Record 7
! PBE-GGA Er4Mg5Rh2, optimized geometry; values from VASP
! raw total energy: -4.099 eV/atom
&SYSTEM
  ibrav = 0, nat = 11, ntyp = 3
/
ATOMIC_SPECIES
Er 167.26 Er.upf
Mg 24.30 Mg.upf
Rh 102.91 Rh.upf
ATOMIC_POSITIONS angstrom
Er 1.798 5.910 5.408
Er 1.798 0.795 8.168
Er 1.798 1.311 4.314
Er 1.798 6.426 1.553
Mg 0.000 4.100 3.252
Mg 0.000 1.325 1.493
Mg 0.000 3.925 0.048
Mg 0.000 5.896 8.229
Mg 0.000 3.120 6.470
Rh 0.000 0.176 6.227
Rh 0.000 7.044 3.495
CELL_PARAMETERS angstrom
3.596 0.000 0.000
0.000 7.851 0.096
0.000 -0.630 9.625

---

Record 8
! PBE-GGA Er3MgRh8, optimized geometry; values from VASP
! raw total energy: -6.834 eV/atom
&SYSTEM
  ibrav = 0, nat = 12, ntyp = 3
/
ATOMIC_SPECIES
Er 167.26 Er.upf
Mg 24.30 Mg.upf
Rh 102.91 Rh.upf
ATOMIC_POSITIONS angstrom
Er 2.751 1.685 9.146
Er 7.320 4.483 3.142
Er 3.694 2.263 6.022
Mg 6.414 3.928 6.142
Rh 5.740 1.964 3.823
Rh 4.359 4.216 8.387
Rh 3.207 1.964 3.058
Rh 6.884 4.216 9.150
Rh 1.374 0.842 4.577
Rh 5.042 3.088 10.688
Rh 4.358 4.221 3.823
Rh 5.736 1.967 8.387
CELL_PARAMETERS angstrom
5.052 0.000 1.525
2.296 4.500 1.525
-0.011 -0.007 9.166

---

Record 9
! PBE-GGA Er2MgRh, optimized geometry; values from VASP
! raw total energy: -4.715 eV/atom
&SYSTEM
  ibrav = 0, nat = 4, ntyp = 3
/
ATOMIC_SPECIES
Mg 24.30 Mg.upf
Rh 102.91 Rh.upf
Er 167.26 Er.upf
ATOMIC_POSITIONS angstrom
Mg 0.000 0.000 0.000
Rh -3.563 -1.462 5.382
Er -5.057 0.656 4.636
Er -2.069 -3.581 6.128
CELL_PARAMETERS angstrom
-0.768 -3.512 1.212
1.435 -1.227 3.291
-7.793 1.815 6.261

---

Record 10
! PBE-GGA Er2MgRh, optimized geometry; values from VASP
! raw total energy: -5.039 eV/atom
&SYSTEM
  ibrav = 0, nat = 4, ntyp = 3
/
ATOMIC_SPECIES
Mg 24.30 Mg.upf
Rh 102.91 Rh.upf
Er 167.26 Er.upf
ATOMIC_POSITIONS angstrom
Mg 2.376 -3.610 1.385
Rh -0.997 -1.853 1.302
Er 5.325 -2.773 0.131
Er 1.421 -0.740 0.035
CELL_PARAMETERS angstrom
-0.436 -0.677 3.406
-1.558 -3.030 -0.801
6.746 -3.513 0.166

---

Record 11
! PBE-GGA Er3MgRh, optimized geometry; values from VASP
! raw total energy: -4.829 eV/atom
&SYSTEM
  ibrav = 0, nat = 10, ntyp = 3
/
ATOMIC_SPECIES
Er 167.26 Er.upf
Mg 24.30 Mg.upf
Rh 102.91 Rh.upf
ATOMIC_POSITIONS angstrom
Er 7.326 4.771 4.217
Er 3.566 4.872 3.263
Er 4.524 -0.919 4.745
Er 0.007 0.616 1.312
Er 7.991 0.751 5.245
Er 5.505 1.811 2.417
Mg 9.843 2.754 3.289
Mg 2.312 1.601 3.658
Rh 6.702 -0.473 3.204
Rh 5.889 4.436 1.948
CELL_PARAMETERS angstrom
-0.888 0.770 3.584
7.895 -3.370 2.681
6.270 6.447 0.168

---

Record 12
! PBE-GGA ErMg8Rh2, optimized geometry; values from VASP
! raw total energy: -3.048 eV/atom
&SYSTEM
  ibrav = 0, nat = 11, ntyp = 3
/
ATOMIC_SPECIES
Er 167.26 Er.upf
Mg 24.30 Mg.upf
Rh 102.91 Rh.upf
ATOMIC_POSITIONS angstrom
Er -0.799 -2.381 -0.626
Mg -3.080 -4.690 0.385
Mg -0.072 -5.622 0.096
Mg -0.656 -2.906 2.556
Mg -3.747 -3.472 3.141
Mg 1.630 -5.139 2.624
Mg -1.461 -5.705 3.209
Mg -2.044 -2.989 5.669
Mg 0.963 -3.921 5.380
Rh 1.936 -2.606 3.297
Rh -2.455 -1.244 3.719
CELL_PARAMETERS angstrom
-1.597 -4.762 -1.252
5.497 -3.710 2.955
-6.017 -0.139 4.062

---

Record 13
! PBE-GGA Er2MgRh3, optimized geometry; values from VASP
! distance to the lowest polymorph of the same formula: 20.0 meV per atom
! raw total energy: -6.273 eV/atom
&SYSTEM
  ibrav = 0, nat = 6, ntyp = 3
/
ATOMIC_SPECIES
Er 167.26 Er.upf
Mg 24.30 Mg.upf
Rh 102.91 Rh.upf
ATOMIC_POSITIONS angstrom
Er 1.662 1.662 8.060
Er 1.662 1.662 1.747
Mg 1.662 1.662 4.904
Rh 0.000 0.000 0.000
Rh 0.000 0.000 6.417
Rh 0.000 0.000 3.390
CELL_PARAMETERS angstrom
3.324 0.000 0.000
0.000 3.324 0.000
0.000 0.000 9.807

---

Record 14
! PBE-GGA Er4MgRh, optimized geometry; values from VASP
! distance to the lowest polymorph of the same formula: 301.6 meV per atom
! raw total energy: -4.646 eV/atom
&SYSTEM
  ibrav = 0, nat = 6, ntyp = 3
/
ATOMIC_SPECIES
Er 167.26 Er.upf
Mg 24.30 Mg.upf
Rh 102.91 Rh.upf
ATOMIC_POSITIONS angstrom
Er -4.039 1.215 3.982
Er -2.814 1.769 6.960
Er 0.052 0.246 6.062
Er -1.173 -0.308 3.086
Mg 0.115 2.878 8.108
Rh -2.613 -0.743 5.552
CELL_PARAMETERS angstrom
-1.627 4.471 -0.162
-4.105 -1.423 1.956
2.977 1.346 7.230

---

Record 15
! PBE-GGA Er6MgRh5, optimized geometry; values from VASP
! raw total energy: -6.251 eV/atom
&SYSTEM
  ibrav = 0, nat = 12, ntyp = 3
/
ATOMIC_SPECIES
Mg 24.30 Mg.upf
Rh 102.91 Rh.upf
Er 167.26 Er.upf
ATOMIC_POSITIONS angstrom
Mg 0.000 0.000 0.000
Rh -0.703 -1.978 2.588
Rh 1.270 0.006 4.629
Rh 2.791 -1.991 -0.763
Rh 2.124 -3.968 1.954
Rh 4.096 -1.985 3.995
Er 1.292 -2.938 4.568
Er -1.409 -1.012 5.307
Er 2.781 -4.901 -0.757
Er 0.175 -3.042 -0.044
Er 4.803 -2.951 1.277
Er 2.101 -1.024 2.015
CELL_PARAMETERS angstrom
-2.627 -3.961 0.725
5.583 -3.981 -1.526
0.437 3.980 7.384

---

Record 16
! PBE-GGA Er3MgRh2, optimized geometry; values from VASP
! raw total energy: -5.616 eV/atom
&SYSTEM
  ibrav = 0, nat = 12, ntyp = 3
/
ATOMIC_SPECIES
Er 167.26 Er.upf
Mg 24.30 Mg.upf
Rh 102.91 Rh.upf
ATOMIC_POSITIONS angstrom
Er -3.314 0.310 1.599
Er -5.241 -2.582 1.989
Er 0.126 2.631 4.455
Er 0.235 -1.898 2.768
Er -1.692 -4.790 3.158
Er -1.801 -0.261 4.845
Mg -1.927 -2.892 0.390
Mg 0.000 0.000 0.000
Rh 1.001 -0.022 4.784
Rh -2.561 2.191 3.588
Rh 0.995 -4.349 4.026
Rh -2.566 -2.137 2.830
CELL_PARAMETERS angstrom
-4.700 3.511 2.807
-3.855 -5.784 0.780
6.989 0.114 4.026

---

Record 17
! PBE-GGA Er6Mg2Rh, optimized geometry; values from VASP
! raw total energy: -4.290 eV/atom
&SYSTEM
  ibrav = 0, nat = 9, ntyp = 3
/
ATOMIC_SPECIES
Er 167.26 Er.upf
Mg 24.30 Mg.upf
Rh 102.91 Rh.upf
ATOMIC_POSITIONS angstrom
Er 4.583 1.665 2.901
Er -0.764 -1.682 5.364
Er -0.764 1.681 5.364
Er 2.449 1.625 0.349
Er 4.584 5.029 2.901
Er 1.371 1.722 7.916
Mg 1.926 3.347 4.019
Mg 1.894 0.000 4.246
Rh 0.000 0.000 0.000
CELL_PARAMETERS angstrom
4.898 0.000 0.697
0.000 6.694 -0.001
-1.078 -3.348 7.568

---

Record 18
! PBE-GGA Er3MgRh4, optimized geometry; values from VASP
! raw total energy: -6.448 eV/atom
&SYSTEM
  ibrav = 0, nat = 8, ntyp = 3
/
ATOMIC_SPECIES
Mg 24.30 Mg.upf
Rh 102.91 Rh.upf
Er 167.26 Er.upf
ATOMIC_POSITIONS angstrom
Mg 0.000 0.000 0.000
Rh 5.110 -5.739 3.956
Rh 6.716 -1.489 5.241
Rh 4.368 -0.032 3.415
Rh 2.762 -4.281 2.130
Er 2.291 -1.498 1.781
Er 7.187 -4.272 5.590
Er 4.739 -2.885 3.685
CELL_PARAMETERS angstrom
0.121 -3.577 3.057
3.020 -3.552 -0.651
6.338 1.359 4.964

---

Record 19
! PBE-GGA ErMgRh2, optimized geometry; values from VASP
! raw total energy: -5.976 eV/atom
&SYSTEM
  ibrav = 0, nat = 4, ntyp = 3
/
ATOMIC_SPECIES
Mg 24.30 Mg.upf
Rh 102.91 Rh.upf
Er 167.26 Er.upf
ATOMIC_POSITIONS angstrom
Mg 2.308 1.332 0.942
Rh 0.000 0.000 0.000
Rh 4.615 2.665 1.884
Er 6.923 3.997 2.826
CELL_PARAMETERS angstrom
4.615 0.000 0.000
2.308 3.997 0.000
2.308 1.332 3.768

---

Record 20
! PBE-GGA Er2MgRh4, optimized geometry; values from VASP
! raw total energy: -6.188 eV/atom
&SYSTEM
  ibrav = 0, nat = 7, ntyp = 3
/
ATOMIC_SPECIES
Er 167.26 Er.upf
Mg 24.30 Mg.upf
Rh 102.91 Rh.upf
ATOMIC_POSITIONS angstrom
Er 4.656 2.863 7.807
Er 1.505 0.925 2.753
Mg 0.000 0.000 0.000
Rh 5.454 3.354 5.254
Rh 0.707 0.435 5.306
Rh 3.908 2.403 2.632
Rh 2.253 1.386 7.928
CELL_PARAMETERS angstrom
4.310 0.000 1.346
1.944 3.846 1.346
-0.093 -0.057 7.867